[1]
CsCaSe3 after structural relaxation. Source: the Alexandria database, functional PBE.

Structure (CIF):
```
data_CsCaSe3
_symmetry_space_group_name_H-M 'P m -3 m'
_symmetry_Int_Tables_number 221
_symmetry_space_group_name_Hall '-P 4 2 3'
_cell_length_a 5.766
_cell_length_b 5.766
_cell_length_c 5.766
_cell_angle_alpha 90.00
_cell_angle_beta 90.00
_cell_angle_gamma 90.00
loop_
_atom_site_label
_atom_site_type_symbol
_atom_site_fract_x
_atom_site_fract_y
_atom_site_fract_z
Cs1 Cs 0.000 0.000 0.000
Ca1 Ca 0.500 0.500 0.500
Se1 Se 0.000 0.000 0.500
```

## Properties
formation energy (no corrections) = 0.236 eV/atom
E = -2.426 eV/atom
density of states at the Fermi level = 4.7 states/eV/cell



[2]
CaPr2N after structural relaxation. Source: the Alexandria database, functional PBE.

Structure (CIF):
```
data_CaPr2N
_symmetry_space_group_name_H-M 'R -3 m'
_symmetry_Int_Tables_number 166
_symmetry_space_group_name_Hall '-R 3 2"'
_cell_length_a 3.7099
_cell_length_b 3.7099
_cell_length_c 29.1635
_cell_angle_alpha 90.00
_cell_angle_beta 90.00
_cell_angle_gamma 120.00
loop_
_atom_site_label
_atom_site_type_symbol
_atom_site_fract_x
_atom_site_fract_y
_atom_site_fract_z
Ca1 Ca 0.0000 0.0000 0.0000
Pr1 Pr 0.0000 0.0000 0.2143
N1 N 0.0000 0.0000 0.5000
```

## Properties
formation energy (no corrections) = -0.599 eV/atom
E = -5.570 eV/atom
density of states at the Fermi level = 13.2 states/eV/cell